Entry 1:
DyY8 | GGA-PBE | relaxed

Cell lengths 7.982, 7.982, 7.982 Å; angles 95.72, 95.72, 143.19 degrees
Fractional coordinates of all 9 atoms:
Dy 0.000 0.000 0.000
Y 0.000 0.333 0.333
Y 0.000 0.667 0.667
Y 0.333 0.000 0.333
Y 0.334 0.334 0.668
Y 0.334 0.666 0.000
Y 0.666 0.334 0.000
Y 0.666 0.666 0.332
Y 0.667 0.000 0.667

Values from the calculation:
Magnetization ... 0.0 μB/f.u.
ΔH_f (0 K) ... 0.21 eV per formula unit
Crystal system ... tetragonal
SG ... I4/mmm

Entry 2:
DyY5 | GGA-PBE | relaxed

Cell lengths 9.405, 9.405, 3.748 Å; angles 90.00, 90.00, 143.98 degrees
Fractional coordinates of all 6 atoms:
Dy 0.000 0.000 0.000
Y 0.154 0.846 0.500
Y 0.321 0.679 0.000
Y 0.500 0.500 0.500
Y 0.679 0.321 0.000
Y 0.846 0.154 0.500

Values from the calculation:
Magnetization ... 0.0 μB/f.u.
ΔH_f (0 K) ... 0.68 eV per formula unit
E above lowest polymorph ... 0.090 eV per atom
Crystal system ... orthorhombic
SG ... Cmmm

Entry 3:
Dy5Y4 | GGA-PBE | relaxed

Cell lengths 9.093, 9.093, 9.093 Å; angles 157.03, 96.21, 88.35 degrees
Fractional coordinates of all 9 atoms:
Dy 0.000 0.000 0.000
Dy 0.294 0.000 0.294
Dy 0.375 0.375 0.000
Dy 0.625 0.625 0.000
Dy 0.706 0.000 0.706
Y 0.046 0.690 0.356
Y 0.334 0.690 0.644
Y 0.666 0.310 0.356
Y 0.954 0.310 0.644

Values from the calculation:
Magnetization ... 0.0 μB/f.u.
ΔH_f (0 K) ... 0.36 eV per formula unit
E above lowest polymorph ... 0.000 eV per atom
Crystal system ... orthorhombic
SG ... Immm

Entry 4:
DyY | GGA-PBE | relaxed

Cell lengths 3.481, 3.481, 5.908 Å; angles 90.00, 90.00, 116.18 degrees
Fractional coordinates of all 2 atoms:
Dy 0.000 0.000 0.000
Y 0.500 0.500 0.500

Values from the calculation:
Magnetization ... 0.0 μB/f.u.
ΔH_f (0 K) ... 0.25 eV per formula unit
E above lowest polymorph ... 0.120 eV per atom
Crystal system ... orthorhombic
SG ... Cmmm

Entry 5:
Dy3Y13 | GGA-PBE | relaxed

Cell lengths 7.299, 8.472, 8.472 Å; angles 83.75, 90.00, 90.00 degrees
Fractional coordinates of all 16 atoms:
Dy 0.000 0.000 0.000
Dy 0.250 0.751 0.751
Dy 0.750 0.751 0.751
Y 0.000 0.417 0.917
Y 0.000 0.501 0.501
Y 0.000 0.917 0.417
Y 0.250 0.167 0.668
Y 0.250 0.250 0.250
Y 0.250 0.668 0.167
Y 0.500 0.000 0.000
Y 0.500 0.419 0.917
Y 0.500 0.501 0.501
Y 0.500 0.917 0.419
Y 0.750 0.167 0.668
Y 0.750 0.250 0.250
Y 0.750 0.668 0.167

Values from the calculation:
Magnetization ... 0.0 μB/f.u.
ΔH_f (0 K) ... 0.02 eV per formula unit
E above lowest polymorph ... 0.000 eV per atom
Crystal system ... orthorhombic
SG ... Amm2

Entry 6:
Dy13Y2 | GGA-PBE | relaxed

Cell lengths 12.194, 12.194, 12.194 Å; angles 33.38, 33.38, 33.38 degrees
Fractional coordinates of all 15 atoms:
Dy 0.000 0.000 0.000
Dy 0.043 0.546 0.546
Dy 0.210 0.708 0.708
Dy 0.292 0.292 0.790
Dy 0.292 0.790 0.292
Dy 0.454 0.454 0.957
Dy 0.454 0.957 0.454
Dy 0.546 0.043 0.546
Dy 0.546 0.546 0.043
Dy 0.708 0.210 0.708
Dy 0.708 0.708 0.210
Dy 0.790 0.292 0.292
Dy 0.957 0.454 0.454
Y 0.206 0.206 0.206
Y 0.794 0.794 0.794

Values from the calculation:
Magnetization ... 0.0 μB/f.u.
ΔH_f (0 K) ... 2.51 eV per formula unit
E above lowest polymorph ... 0.097 eV per atom
Crystal system ... trigonal
SG ... R-3m

Entry 7:
Dy2Y5 | GGA-PBE | relaxed

Cell lengths 8.469, 8.469, 9.225 Å; angles 95.73, 95.73, 43.71 degrees
Fractional coordinates of all 14 atoms:
Dy 0.095 0.763 0.893
Dy 0.237 0.905 0.607
Dy 0.763 0.095 0.393
Dy 0.905 0.237 0.107
Y 0.049 0.380 0.822
Y 0.190 0.525 0.536
Y 0.332 0.668 0.250
Y 0.380 0.049 0.322
Y 0.475 0.810 0.964
Y 0.525 0.190 0.036
Y 0.620 0.951 0.678
Y 0.668 0.332 0.750
Y 0.810 0.475 0.464
Y 0.951 0.620 0.178

Values from the calculation:
Magnetization ... 0.0 μB/f.u.
ΔH_f (0 K) ... 0.01 eV per formula unit
Crystal system ... monoclinic
SG ... C2/c

Entry 8:
Dy8Y3 | GGA-PBE | relaxed

Cell lengths 7.178, 7.178, 7.178 Å; angles 83.01, 83.01, 83.01 degrees
Fractional coordinates of all 11 atoms:
Dy 0.109 0.109 0.109
Dy 0.198 0.345 0.619
Dy 0.345 0.619 0.198
Dy 0.381 0.802 0.655
Dy 0.619 0.198 0.345
Dy 0.655 0.381 0.802
Dy 0.802 0.655 0.381
Dy 0.891 0.891 0.891
Y 0.000 0.000 0.500
Y 0.000 0.500 0.000
Y 0.500 0.000 0.000

Values from the calculation:
Magnetization ... 0.0 μB/f.u.
ΔH_f (0 K) ... 6.37 eV per formula unit
E above lowest polymorph ... 0.185 eV per atom
Crystal system ... trigonal
SG ... R-3

Entry 9:
Dy3Y5 | GGA-PBE | relaxed

Cell lengths 3.642, 5.643, 12.613 Å; angles 90.00, 90.00, 90.00 degrees
Fractional coordinates of all 8 atoms:
Dy 0.000 0.000 0.000
Dy 0.000 0.500 0.166
Dy 0.500 0.000 0.247
Y 0.000 0.000 0.498
Y 0.000 0.500 0.665
Y 0.500 0.000 0.750
Y 0.500 0.500 0.415
Y 0.500 0.500 0.917

Values from the calculation:
Magnetization ... 0.0 μB/f.u.
ΔH_f (0 K) ... 0.01 eV per formula unit
Crystal system ... orthorhombic
SG ... Pmm2

Entry 10:
Dy6Y | GGA-PBE | relaxed

Cell lengths 6.483, 6.483, 10.982 Å; angles 90.00, 90.00, 90.00 degrees
Fractional coordinates of all 14 atoms:
Dy 0.082 0.582 0.138
Dy 0.082 0.918 0.862
Dy 0.250 0.250 0.360
Dy 0.250 0.250 0.640
Dy 0.418 0.582 0.862
Dy 0.418 0.918 0.138
Dy 0.582 0.082 0.862
Dy 0.582 0.418 0.138
Dy 0.750 0.750 0.360
Dy 0.750 0.750 0.640
Dy 0.918 0.082 0.138
Dy 0.918 0.418 0.862
Y 0.250 0.750 0.500
Y 0.750 0.250 0.500

Values from the calculation:
Magnetization ... 0.0 μB/f.u.
ΔH_f (0 K) ... 1.79 eV per formula unit
E above lowest polymorph ... 0.000 eV per atom
Crystal system ... tetragonal
SG ... P4/nbm

Entry 11:
Dy3Y4 | GGA-PBE | relaxed

Cell lengths 5.579, 5.579, 9.045 Å; angles 112.40, 112.40, 63.83 degrees
Fractional coordinates of all 7 atoms:
Dy 0.000 0.000 0.000
Dy 0.428 0.428 0.285
Dy 0.572 0.572 0.715
Y 0.143 0.143 0.428
Y 0.286 0.286 0.857
Y 0.714 0.714 0.143
Y 0.857 0.857 0.572

Values from the calculation:
Magnetization ... 0.0 μB/f.u.
ΔH_f (0 K) ... 0.87 eV per formula unit
E above lowest polymorph ... 0.102 eV per atom
Crystal system ... monoclinic
SG ... C2/m

Entry 12:
Dy13Y2 | GGA-PBE | relaxed

Cell lengths 6.595, 8.934, 8.935 Å; angles 65.93, 81.56, 81.53 degrees
Fractional coordinates of all 15 atoms:
Dy 0.000 0.000 0.000
Dy 0.104 0.753 0.446
Dy 0.197 0.199 0.202
Dy 0.291 0.979 0.627
Dy 0.313 0.642 0.954
Dy 0.398 0.401 0.400
Dy 0.487 0.837 0.169
Dy 0.513 0.163 0.831
Dy 0.602 0.599 0.600
Dy 0.687 0.358 0.046
Dy 0.709 0.021 0.373
Dy 0.803 0.801 0.798
Dy 0.896 0.247 0.554
Y 0.095 0.421 0.782
Y 0.905 0.579 0.218

Values from the calculation:
Magnetization ... 0.0 μB/f.u.
ΔH_f (0 K) ... 1.04 eV per formula unit
E above lowest polymorph ... 0.000 eV per atom
Crystal system ... triclinic
SG ... P-1

Entry 13:
DyY2Zn2 | GGA-PBE | relaxed

Cell lengths 3.617, 5.158, 13.352 Å; angles 90.00, 97.80, 90.00 degrees
Fractional coordinates of all 10 atoms:
Dy 0.144 0.250 0.286
Dy 0.856 0.750 0.714
Y 0.047 0.750 0.092
Y 0.232 0.750 0.464
Y 0.768 0.250 0.536
Y 0.953 0.250 0.908
Zn 0.360 0.250 0.720
Zn 0.451 0.750 0.902
Zn 0.549 0.250 0.098
Zn 0.640 0.750 0.280

Values from the calculation:
Magnetization ... 0.0 μB/f.u.
ΔH_f (0 K) ... -1.37 eV per formula unit
E above lowest polymorph ... 0.000 eV per atom
Crystal system ... monoclinic
SG ... P2_1/m

Entry 14:
Dy3YZn4 | GGA-PBE | relaxed

Cell lengths 5.036, 5.036, 7.183 Å; angles 90.00, 90.00, 90.00 degrees
Fractional coordinates of all 8 atoms:
Dy 0.000 0.000 0.000
Dy 0.000 0.000 0.500
Dy 0.500 0.500 0.000
Y 0.500 0.500 0.500
Zn 0.000 0.500 0.249
Zn 0.000 0.500 0.751
Zn 0.500 0.000 0.249
Zn 0.500 0.000 0.751

Values from the calculation:
Magnetization ... 0.0 μB/f.u.
ΔH_f (0 K) ... -2.77 eV per formula unit
Crystal system ... tetragonal
SG ... P4/mmm

Entry 15:
Dy2Y2Zn | GGA-PBE | relaxed

Cell lengths 11.471, 11.471, 11.471 Å; angles 162.16, 162.16, 25.34 degrees
Fractional coordinates of all 5 atoms:
Dy 0.195 0.195 0.000
Dy 0.805 0.805 0.000
Y 0.420 0.420 0.000
Y 0.580 0.580 0.000
Zn 0.000 0.000 0.000

Values from the calculation:
Magnetization ... 0.0 μB/f.u.
ΔH_f (0 K) ... -0.64 eV per formula unit
E above lowest polymorph ... 0.000 eV per atom
Crystal system ... tetragonal
SG ... I4/mmm

Entry 16:
Dy2Y2Zn3 | GGA-PBE | relaxed

Cell lengths 5.010, 5.010, 8.592 Å; angles 106.88, 106.88, 60.16 degrees
Fractional coordinates of all 7 atoms:
Dy 0.121 0.121 0.365
Dy 0.879 0.879 0.635
Y 0.373 0.373 0.119
Y 0.627 0.627 0.881
Zn 0.248 0.248 0.743
Zn 0.500 0.500 0.500
Zn 0.752 0.752 0.257

Values from the calculation:
Magnetization ... 0.0 μB/f.u.
ΔH_f (0 K) ... -1.42 eV per formula unit
Crystal system ... monoclinic
SG ... C2/m

Entry 17:
DyY2Zn9 | GGA-PBE | relaxed

Cell lengths 9.130, 9.130, 9.130 Å; angles 34.69, 34.69, 34.69 degrees
Fractional coordinates of all 12 atoms:
Dy 0.000 0.000 0.000
Y 0.139 0.139 0.139
Y 0.861 0.861 0.861
Zn 0.076 0.585 0.585
Zn 0.335 0.335 0.335
Zn 0.415 0.415 0.924
Zn 0.415 0.924 0.415
Zn 0.500 0.500 0.500
Zn 0.585 0.076 0.585
Zn 0.585 0.585 0.076
Zn 0.665 0.665 0.665
Zn 0.924 0.415 0.415

Values from the calculation:
Magnetization ... 0.0 μB/f.u.
ΔH_f (0 K) ... -3.86 eV per formula unit
Crystal system ... trigonal
SG ... R-3m

Entry 18:
DyYZn4 | GGA-PBE | relaxed

Cell lengths 5.684, 5.684, 5.684 Å; angles 133.56, 103.65, 94.30 degrees
Fractional coordinates of all 6 atoms:
Dy 0.000 0.000 0.000
Y 0.500 0.000 0.500
Zn 0.081 0.333 0.748
Zn 0.414 0.667 0.748
Zn 0.586 0.333 0.252
Zn 0.919 0.667 0.252

Values from the calculation:
Magnetization ... 0.0 μB/f.u.
ΔH_f (0 K) ... -2.31 eV per formula unit
E above lowest polymorph ... 0.000 eV per atom
Crystal system ... orthorhombic
SG ... Immm

Entry 19:
Dy2YZn6 | GGA-PBE | relaxed

Cell lengths 7.746, 7.746, 3.513 Å; angles 90.00, 90.00, 120.00 degrees
Fractional coordinates of all 9 atoms:
Dy 0.333 0.667 0.000
Dy 0.667 0.333 0.000
Y 0.000 0.000 0.000
Zn 0.000 0.334 0.500
Zn 0.000 0.666 0.500
Zn 0.334 0.000 0.500
Zn 0.334 0.334 0.500
Zn 0.666 0.000 0.500
Zn 0.666 0.666 0.500

Values from the calculation:
Magnetization ... 0.0 μB/f.u.
ΔH_f (0 K) ... -3.49 eV per formula unit
Crystal system ... hexagonal
SG ... P6/mmm

Entry 20:
Dy4Y5Zn | GGA-PBE | relaxed

Cell lengths 3.557, 3.557, 23.861 Å; angles 90.00, 90.00, 90.00 degrees
Fractional coordinates of all 10 atoms:
Dy 0.000 0.000 0.106
Dy 0.000 0.000 0.317
Dy 0.000 0.000 0.683
Dy 0.000 0.000 0.894
Y 0.500 0.500 0.000
Y 0.500 0.500 0.212
Y 0.500 0.500 0.425
Y 0.500 0.500 0.575
Y 0.500 0.500 0.788
Zn 0.000 0.000 0.500

Values from the calculation:
Magnetization ... 0.0 μB/f.u.
ΔH_f (0 K) ... -0.52 eV per formula unit
Crystal system ... tetragonal
SG ... P4/mmm

Entry 21:
Dy2Y2Zn | GGA-PBE | relaxed

Cell lengths 12.682, 12.682, 12.682 Å; angles 157.42, 157.42, 32.15 degrees
Fractional coordinates of all 10 atoms:
Dy 0.055 0.305 0.750
Dy 0.305 0.055 0.250
Dy 0.695 0.945 0.750
Dy 0.945 0.695 0.250
Y 0.198 0.448 0.750
Y 0.448 0.198 0.250
Y 0.552 0.802 0.750
Y 0.802 0.552 0.250
Zn 0.375 0.625 0.750
Zn 0.625 0.375 0.250

Values from the calculation:
Magnetization ... 0.0 μB/f.u.
ΔH_f (0 K) ... 0.04 eV per formula unit
E above lowest polymorph ... 0.136 eV per atom
Crystal system ... tetragonal
SG ... I4_1/amd

Entry 22:
Dy3YZn2 | GGA-PBE | relaxed

Cell lengths 5.013, 9.057, 6.807 Å; angles 90.00, 90.00, 90.00 degrees
Fractional coordinates of all 12 atoms:
Dy 0.000 0.058 0.000
Dy 0.000 0.325 0.350
Dy 0.000 0.675 0.850
Dy 0.000 0.942 0.500
Dy 0.500 0.173 0.682
Dy 0.500 0.827 0.182
Y 0.500 0.443 0.032
Y 0.500 0.557 0.532
Zn 0.000 0.351 0.786
Zn 0.000 0.649 0.286
Zn 0.500 0.150 0.245
Zn 0.500 0.850 0.745

Values from the calculation:
Magnetization ... 0.0 μB/f.u.
ΔH_f (0 K) ... -1.41 eV per formula unit
E above lowest polymorph ... 0.000 eV per atom
Crystal system ... orthorhombic
SG ... Pmc2_1